Below is an optimized crystal structure of NpTcC2, with properties calculated at the GGA-PBE level.

Computed properties:
The value obtained for the size of the total moment is 2.730 μB per formula unit. Its relative energy among the computed polymorphs is 0.000 eV/atom. The total energy comes out at -10.3129 eV per atom. For the volume, the calculation gives 48.29 Å³ per cell.

Unit cell a=5.629 b=5.629 c=5.629 alpha=33.46 beta=33.46 gamma=33.46
Atoms (fractional coordinates):
Np  0.000  0.000  0.000
Tc  0.500  0.500  0.500
C  0.240  0.240  0.240
C  0.760  0.760  0.760

=====

Below is an optimized crystal structure of Dy2Ho3Er2, with properties calculated at the GGA-PBE level.

Computed properties:
The value obtained for the size of the total moment is 0.000 μB per formula unit. The total energy comes out at -4.4631 eV per atom. For the volume, the calculation gives 219.63 Å³ per cell.

Unit cell a=8.782 b=8.782 c=8.423 alpha=118.56 beta=118.56 gamma=22.79
Atoms (fractional coordinates):
Dy  0.066  0.066  0.409
Dy  0.934  0.934  0.591
Ho  0.288  0.288  0.699
Ho  0.500  0.500  0.000
Ho  0.712  0.712  0.301
Er  0.353  0.353  0.174
Er  0.647  0.647  0.826

=====

Below is an optimized crystal structure of Li3Y2Ga4, with properties calculated at the GGA-PBE level.

Computed properties:
The value obtained for the size of the total moment is 0.000 μB per formula unit. The total energy comes out at -3.8263 eV per atom. For the volume, the calculation gives 347.34 Å³ per cell.

Unit cell a=8.519 b=8.519 c=7.524 alpha=90.00 beta=90.00 gamma=140.50
Atoms (fractional coordinates):
Li  0.000  0.000  0.000
Li  0.016  0.484  0.250
Li  0.484  0.016  0.750
Li  0.500  0.500  0.500
Li  0.516  0.984  0.250
Li  0.984  0.516  0.750
Y  0.102  0.898  0.401
Y  0.398  0.602  0.901
Y  0.602  0.398  0.099
Y  0.898  0.102  0.599
Ga  0.162  0.838  0.009
Ga  0.182  0.318  0.250
Ga  0.318  0.182  0.750
Ga  0.338  0.662  0.509
Ga  0.662  0.338  0.491
Ga  0.682  0.818  0.250
Ga  0.818  0.682  0.750
Ga  0.838  0.162  0.991

=====

Below is an optimized crystal structure of KMnW2, with properties calculated at the GGA-PBE level.

Computed properties:
The value obtained for the size of the total moment is 0.000 μB per formula unit. Its relative energy among the computed polymorphs is 0.127 eV/atom. The total energy comes out at -8.0861 eV per atom. For the volume, the calculation gives 89.49 Å³ per cell.

Unit cell a=2.849 b=3.989 c=7.874 alpha=90.00 beta=90.00 gamma=90.00
Atoms (fractional coordinates):
K  0.000  0.000  0.000
Mn  0.500  0.500  0.354
W  0.000  0.000  0.466
W  0.500  0.500  0.633

=====

Below is an optimized crystal structure of Al6Ag2Pd, with properties calculated at the GGA-PBE level.

Computed properties:
The value obtained for the size of the total moment is 0.000 μB per formula unit. The total energy comes out at -3.9144 eV per atom. For the volume, the calculation gives 166.09 Å³ per cell.

Unit cell a=7.370 b=7.370 c=4.262 alpha=106.46 beta=106.46 gamma=49.03
Atoms (fractional coordinates):
Al  0.081  0.593  0.338
Al  0.237  0.763  0.000
Al  0.407  0.919  0.662
Al  0.593  0.081  0.338
Al  0.763  0.237  0.000
Al  0.919  0.407  0.662
Ag  0.334  0.334  0.835
Ag  0.666  0.666  0.165
Pd  0.000  0.000  0.500

=====

Below is an optimized crystal structure of Pm6Y5Ho2, with properties calculated at the GGA-PBE level.

Computed properties:
The value obtained for the size of the total moment is 0.000 μB per formula unit. The total energy comes out at -5.2836 eV per atom. For the volume, the calculation gives 875.27 Å³ per cell.

Unit cell a=11.700 b=20.596 c=3.632 alpha=90.00 beta=90.00 gamma=90.00
Atoms (fractional coordinates):
Pm  0.063  0.079  0.000
Pm  0.082  0.366  0.000
Pm  0.172  0.635  0.500
Pm  0.328  0.135  0.500
Pm  0.418  0.866  0.000
Pm  0.437  0.579  0.000
Pm  0.563  0.421  0.000
Pm  0.582  0.134  0.000
Pm  0.672  0.865  0.500
Pm  0.828  0.365  0.500
Pm  0.918  0.634  0.000
Pm  0.937  0.921  0.000
Y  0.000  0.500  0.500
Y  0.092  0.225  0.500
Y  0.198  0.943  0.500
Y  0.302  0.443  0.500
Y  0.408  0.725  0.500
Y  0.500  0.000  0.500
Y  0.592  0.275  0.500
Y  0.698  0.557  0.500
Y  0.802  0.057  0.500
Y  0.908  0.775  0.500
Ho  0.167  0.789  0.000
Ho  0.333  0.289  0.000
Ho  0.667  0.711  0.000
Ho  0.833  0.211  0.000

=====

> Which of these has the highest size of the total moment?

NpTcC2